A plane-wave DFT calculation with PBE was carried out for a geometry-optimized La2BeTl structure.

Total magnetization, Bohr magnetons per cell: 0.00
Distance to the lowest polymorph of the same formula, meV/atom: 88
Formation energy from the elements, eV per atom: -0.015
Space-group type: Fm-3m (225)
Calculated total energy, eV per atom: -4.002

a = 5.433 Å, b = 5.433 Å, c = 5.433 Å
α = 60.00°, β = 60.00°, γ = 60.00°
Sites, in units of the cell vectors:
La (0.250, 0.250, 0.250)
La (0.750, 0.750, 0.750)
Be (0.000, 0.000, 0.000)
Tl (0.500, 0.500, 0.500)